1.
Crystalline LaP3 at its relaxed geometry. Source: Alexandria, functional PBE.

a = 4.186 Å, b = 4.186 Å, c = 5.788 Å
α = 90.00°, β = 90.00°, γ = 120.00°
Positions (direct):
La: 0.000 0.000 0.000
P: 0.000 0.000 0.500
P: 0.667 0.333 0.308
P: 0.667 0.333 0.692

Output
ΔE_f = -349.0 meV per atom
Magnetic moment = 0.0 μB/cell
SG = P-6m2, No. 187
V = 21.960 A^3/atom

2.
Crystalline LaP2 at its relaxed geometry. Source: Alexandria, functional PBE.

a = 4.821 Å, b = 4.821 Å, c = 4.821 Å
α = 60.00°, β = 60.00°, γ = 60.00°
Positions (direct):
La: 0.000 0.000 0.000
P: 0.750 0.750 0.750
P: 0.250 0.250 0.250

Output
ΔE_f = -298.4 meV per atom
Magnetic moment = 0.0 μB/cell
SG = Fm-3m, No. 225
V = 26.406 A^3/atom

3.
Crystalline LaP3 at its relaxed geometry. Source: Alexandria, functional PBE.

a = 5.887 Å, b = 5.887 Å, c = 5.192 Å
α = 90.00°, β = 90.00°, γ = 120.00°
Positions (direct):
La: 0.667 0.333 0.250
La: 0.333 0.667 0.750
P: 0.862 0.138 0.750
P: 0.275 0.138 0.750
P: 0.862 0.725 0.750
P: 0.138 0.862 0.250
P: 0.725 0.862 0.250
P: 0.138 0.275 0.250

Output
ΔE_f = -389.1 meV per atom
Magnetic moment = 0.0 μB/cell
SG = P6_3/mmc, No. 194
V = 19.475 A^3/atom

4.
Crystalline La6P7 at its relaxed geometry. Source: Alexandria, functional PBE.

a = 12.436 Å, b = 12.436 Å, c = 12.436 Å
α = 27.06°, β = 27.06°, γ = 27.06°
Positions (direct):
P: 0.881 0.456 0.456
P: 0.456 0.456 0.881
P: 0.456 0.881 0.456
P: 0.119 0.544 0.544
P: 0.544 0.119 0.544
P: 0.544 0.544 0.119
P: 0.500 0.500 0.500
La: 0.929 0.929 0.929
La: 0.071 0.071 0.071
La: 0.797 0.797 0.797
La: 0.203 0.203 0.203
La: 0.672 0.672 0.672
La: 0.328 0.328 0.328

Output
ΔE_f = -734.9 meV per atom
Magnetic moment = 0.3 μB/cell
SG = R-3m, No. 166
V = 27.012 A^3/atom

5.
Crystalline LaP3 at its relaxed geometry. Source: Alexandria, functional PBE.

a = 5.576 Å, b = 5.576 Å, c = 5.576 Å
α = 137.13°, β = 137.13°, γ = 62.23°
Positions (direct):
La: 0.000 0.000 0.000
P: 0.250 0.750 0.500
P: 0.500 0.500 0.000
P: 0.750 0.250 0.500

Output
ΔE_f = -317.5 meV per atom
Magnetic moment = 0.0 μB/cell
SG = I4/mmm, No. 139
V = 19.817 A^3/atom

6.
Crystalline La3P at its relaxed geometry. Source: Alexandria, functional PBE.

a = 6.753 Å, b = 6.753 Å, c = 10.957 Å
α = 90.00°, β = 90.00°, γ = 120.00°
Positions (direct):
P: 0.000 0.000 0.000
P: 0.000 0.000 0.500
P: 0.333 0.667 0.250
P: 0.667 0.333 0.750
La: 0.500 0.000 0.000
La: 0.500 0.000 0.500
La: 0.000 0.500 0.000
La: 0.500 0.500 0.000
La: 0.500 0.500 0.500
La: 0.000 0.500 0.500
La: 0.844 0.688 0.250
La: 0.156 0.312 0.750
La: 0.312 0.156 0.250
La: 0.844 0.156 0.250
La: 0.156 0.844 0.750
La: 0.688 0.844 0.750

Output
ΔE_f = -479.5 meV per atom
Magnetic moment = 0.0 μB/cell
SG = P6_3/mmc, No. 194
ΔE to the lowest computed polymorph = 1.10 eV/f.u.
V = 27.050 A^3/atom

7.
Crystalline LaP2 at its relaxed geometry. Source: Alexandria, functional PBE.

a = 5.062 Å, b = 5.062 Å, c = 5.914 Å
α = 90.00°, β = 90.00°, γ = 120.00°
Positions (direct):
La: 0.333 0.667 0.250
La: 0.667 0.333 0.750
P: 0.000 0.000 0.000
P: 0.000 0.000 0.500
P: 0.333 0.667 0.750
P: 0.667 0.333 0.250

Output
ΔE_f = -563.4 meV per atom
Magnetic moment = 0.0 μB/cell
SG = P6_3/mmc, No. 194
V = 21.874 A^3/atom

8.
Crystalline La3P at its relaxed geometry. Source: Alexandria, functional PBE.

a = 4.005 Å, b = 4.865 Å, c = 5.891 Å
α = 90.00°, β = 90.00°, γ = 90.00°
Positions (direct):
La: 0.000 0.000 0.030
La: 0.500 0.000 0.436
La: 0.500 0.500 0.868
P: 0.000 0.500 0.332

Output
ΔE_f = -464.0 meV per atom
Magnetic moment = 0.0 μB/cell
SG = Pmm2, No. 25
ΔE to the lowest computed polymorph = 1.16 eV/f.u.
V = 28.701 A^3/atom

9.
Crystalline LaP at its relaxed geometry. Source: Alexandria, functional PBE.

a = 3.639 Å, b = 3.639 Å, c = 3.639 Å
α = 90.00°, β = 90.00°, γ = 90.00°
Positions (direct):
La: 0.000 0.000 0.000
P: 0.500 0.500 0.500

Output
ΔE_f = -1199.5 meV per atom
Magnetic moment = 0.0 μB/cell
SG = Pm-3m, No. 221
V = 24.090 A^3/atom

10.
Crystalline LaP at its relaxed geometry. Source: Alexandria, functional PBE.

a = 3.739 Å, b = 5.591 Å, c = 4.724 Å
α = 90.00°, β = 90.00°, γ = 90.00°
Positions (direct):
La: 0.000 0.000 0.917
La: 0.000 0.500 0.416
P: 0.500 0.000 0.417
P: 0.500 0.500 0.916

Output
ΔE_f = -1214.0 meV per atom
Magnetic moment = 0.0 μB/cell
SG = Cmmm, No. 65
V = 24.693 A^3/atom

11.
Crystalline LaP at its relaxed geometry. Source: Alexandria, functional PBE.

a = 11.109 Å, b = 11.109 Å, c = 4.942 Å
α = 90.00°, β = 90.00°, γ = 120.00°
Positions (direct):
La: 0.923 0.329 0.250
La: 0.594 0.923 0.750
La: 0.671 0.594 0.250
La: 0.077 0.671 0.750
La: 0.406 0.077 0.250
La: 0.329 0.406 0.750
P: 0.662 0.073 0.250
P: 0.589 0.662 0.750
P: 0.927 0.589 0.250
P: 0.338 0.927 0.750
P: 0.411 0.338 0.250
P: 0.073 0.411 0.750

Output
ΔE_f = -1068.7 meV per atom
Magnetic moment = 0.0 μB/cell
SG = P6_3/m, No. 176
V = 44.013 A^3/atom

12.
Crystalline LaP at its relaxed geometry. Source: Alexandria, functional PBE.

a = 4.128 Å, b = 4.128 Å, c = 3.770 Å
α = 90.00°, β = 90.00°, γ = 120.00°
Positions (direct):
La: 0.000 0.000 0.000
P: 0.333 0.667 0.500

Output
ΔE_f = -1307.0 meV per atom
Magnetic moment = 0.0 μB/cell
SG = P-6m2, No. 187
V = 27.813 A^3/atom

> The highest ΔE_f belongs to which entry?

number 2

> Which of these has the highest magnetic moment?

La6P7

> The highest ΔE_f belongs to which entry?

number 2

> Look up the V of the third one.

19.475 A^3/atom